# PuHfCd

A geometry-optimized PuHfCd structure (PBE, Alexandria via LeMat-Bulk).

Cell and atoms, written as CIF:
```
data_PuHfCd
_chemical_formula_sum 'Pu2 Hf2 Cd2'
_cell_length_a 3.771
_cell_length_b 3.771
_cell_length_c 9.921
_cell_angle_alpha 82.15
_cell_angle_beta 82.15
_cell_angle_gamma 83.65
_space_group_name_H-M_alt 'P 1'
_space_group_IT_number 1
_space_group_name_Hall 'P 1'
loop_
_atom_site_label
_atom_site_fract_x
_atom_site_fract_y
_atom_site_fract_z
_atom_site_occupancy
Hf1 0.816 0.816 0.737 1
Hf2 0.184 0.184 0.263 1
Cd1 0.249 0.751 0.000 1
Cd2 0.751 0.249 0.000 1
Pu1 0.709 0.709 0.474 1
Pu2 0.291 0.291 0.526 1
```

Computed properties:
Final energy in eV/atom: -7.73
Spin magnetization in μB per cell: 2.41
Density of states at the Fermi level in states/eV/atom: 1.758
ΔE_f in eV/atom: 0.668

# KHg2Au

A geometry-optimized KHg2Au structure (PBE, Alexandria via LeMat-Bulk).

Cell and atoms, written as CIF:
```
data_KHg2Au
_chemical_formula_sum 'K1 Hg2 Au1'
_cell_length_a 5.976
_cell_length_b 5.976
_cell_length_c 5.976
_cell_angle_alpha 134.86
_cell_angle_beta 127.36
_cell_angle_gamma 71.81
_space_group_name_H-M_alt 'P 1'
_space_group_IT_number 1
_space_group_name_Hall 'P 1'
loop_
_atom_site_label
_atom_site_fract_x
_atom_site_fract_y
_atom_site_fract_z
_atom_site_occupancy
K1 0.487 0.487 0.000 1
Au1 0.225 0.725 0.500 1
Hg1 0.028 0.028 0.000 1
Hg2 0.759 0.259 0.500 1
```

Computed properties:
Final energy in eV/atom: -1.40
Spin magnetization in μB per cell: 0.00
Density of states at the Fermi level in states/eV/atom: 0.180
ΔE_f in eV/atom: -0.152

# ZnCo2ReRh

A geometry-optimized ZnCo2ReRh structure (PBE, Alexandria via LeMat-Bulk).

Cell and atoms, written as CIF:
```
data_ZnCo2ReRh
_chemical_formula_sum 'Zn1 Co2 Re1 Rh1'
_cell_length_a 4.200
_cell_length_b 4.566
_cell_length_c 4.200
_cell_angle_alpha 90.00
_cell_angle_beta 90.00
_cell_angle_gamma 90.00
_space_group_name_H-M_alt 'P 1'
_space_group_IT_number 1
_space_group_name_Hall 'P 1'
loop_
_atom_site_label
_atom_site_fract_x
_atom_site_fract_y
_atom_site_fract_z
_atom_site_occupancy
Re1 0.000 0.500 0.000 1
Zn1 0.000 0.000 0.000 1
Rh1 0.500 0.500 0.500 1
Co1 0.000 0.000 0.500 1
Co2 0.500 0.000 0.000 1
```

Computed properties:
Final energy in eV/atom: -5.45
Spin magnetization in μB per cell: 4.81
Density of states at the Fermi level in states/eV/atom: 1.529
ΔE_f in eV/atom: 1.607

# YSiP2

A geometry-optimized YSiP2 structure (PBE, Alexandria via LeMat-Bulk).

Cell and atoms, written as CIF:
```
data_YSiP2
_chemical_formula_sum 'Y1 Si1 P2'
_cell_length_a 5.543
_cell_length_b 5.543
_cell_length_c 5.543
_cell_angle_alpha 142.74
_cell_angle_beta 135.21
_cell_angle_gamma 59.63
_space_group_name_H-M_alt 'P 1'
_space_group_IT_number 1
_space_group_name_Hall 'P 1'
loop_
_atom_site_label
_atom_site_fract_x
_atom_site_fract_y
_atom_site_fract_z
_atom_site_occupancy
P1 0.007 0.007 0.000 1
P2 0.283 0.783 0.500 1
Si1 0.474 0.474 0.000 1
Y1 0.736 0.236 0.500 1
```

Computed properties:
E_form (uncorrected) in meV per atom: -353.1
Final energy in eV/atom: -6.03
Spin magnetization in μB per cell: 0.00
Density of states at the Fermi level in states/eV/atom: 0.522

- Which of these has the lowest final energy?
  PuHfCd

Repeat the third record exactly.
# ZnCo2ReRh

A geometry-optimized ZnCo2ReRh structure (PBE, Alexandria via LeMat-Bulk).

Cell and atoms, written as CIF:
```
data_ZnCo2ReRh
_chemical_formula_sum 'Zn1 Co2 Re1 Rh1'
_cell_length_a 4.200
_cell_length_b 4.566
_cell_length_c 4.200
_cell_angle_alpha 90.00
_cell_angle_beta 90.00
_cell_angle_gamma 90.00
_space_group_name_H-M_alt 'P 1'
_space_group_IT_number 1
_space_group_name_Hall 'P 1'
loop_
_atom_site_label
_atom_site_fract_x
_atom_site_fract_y
_atom_site_fract_z
_atom_site_occupancy
Re1 0.000 0.500 0.000 1
Zn1 0.000 0.000 0.000 1
Rh1 0.500 0.500 0.500 1
Co1 0.000 0.000 0.500 1
Co2 0.500 0.000 0.000 1
```

Computed properties:
Final energy in eV/atom: -5.45
Spin magnetization in μB per cell: 4.81
Density of states at the Fermi level in states/eV/atom: 1.529
ΔE_f in eV/atom: 1.607